## A
Pm3NdSc3: relaxed, PBE.

abc: 8.636 8.636 8.636
angles: 58.46 58.46 58.46
Atoms (fractional coordinates):
Pm (0.068, 0.572, 0.217)
Pm (0.217, 0.068, 0.572)
Pm (0.428, 0.783, 0.932)
Pm (0.572, 0.217, 0.068)
Pm (0.783, 0.932, 0.428)
Pm (0.932, 0.428, 0.783)
Nd (0.155, 0.155, 0.155)
Nd (0.845, 0.845, 0.845)
Sc (0.225, 0.667, 0.439)
Sc (0.333, 0.561, 0.775)
Sc (0.439, 0.225, 0.667)
Sc (0.561, 0.775, 0.333)
Sc (0.667, 0.439, 0.225)
Sc (0.775, 0.333, 0.561)

Values from the calculation:
M_tot	0.0	μB/cell

## B
Pm3NdSc3: relaxed, PBE.

abc: 9.381 9.381 5.565
angles: 90.00 90.00 120.00
Atoms (fractional coordinates):
Pm (0.050, 0.248, 0.250)
Pm (0.197, 0.950, 0.250)
Pm (0.248, 0.197, 0.750)
Pm (0.752, 0.803, 0.250)
Pm (0.803, 0.050, 0.750)
Pm (0.950, 0.752, 0.750)
Nd (0.333, 0.667, 0.250)
Nd (0.667, 0.333, 0.750)
Sc (0.097, 0.485, 0.750)
Sc (0.387, 0.903, 0.750)
Sc (0.485, 0.387, 0.250)
Sc (0.515, 0.613, 0.750)
Sc (0.613, 0.097, 0.250)
Sc (0.903, 0.515, 0.250)

Values from the calculation:
M_tot	0.0	μB/cell

Going by the energies, B is most stable and the next is 12.1 kJ/mol of atoms up.

## A
TbPmNdSc: relaxed, PBE.

abc: 5.631 5.631 5.631
angles: 60.00 60.00 60.00
Atoms (fractional coordinates):
Tb (0.000, 0.000, 0.000)
Pm (0.750, 0.750, 0.750)
Nd (0.500, 0.500, 0.500)
Sc (0.250, 0.250, 0.250)

Values from the calculation:
M_tot	0.0	μB/cell

## B
TbPmNdSc: relaxed, PBE.

abc: 6.773 6.773 3.786
angles: 106.05 106.05 49.97
Atoms (fractional coordinates):
Tb (0.000, 0.000, 0.000)
Pm (0.459, 0.459, 0.455)
Nd (0.732, 0.732, 0.267)
Sc (0.228, 0.228, 0.740)

Values from the calculation:
M_tot	0.0	μB/cell

Going by the energies, B is most stable and the next is 4.6 kJ/mol of atoms up.

## A
PmNdYSc: relaxed, PBE.

abc: 6.752 6.752 3.818
angles: 106.24 106.24 50.02
Atoms (fractional coordinates):
Pm (0.000, 0.000, 0.000)
Nd (0.726, 0.726, 0.205)
Y (0.267, 0.267, 0.748)
Sc (0.495, 0.495, 0.483)

Values from the calculation:
M_tot	0.0	μB/cell

## B
PmNdYSc: relaxed, PBE.

abc: 5.638 5.638 5.638
angles: 60.00 60.00 60.00
Atoms (fractional coordinates):
Pm (0.000, 0.000, 0.000)
Nd (0.250, 0.250, 0.250)
Y (0.750, 0.750, 0.750)
Sc (0.500, 0.500, 0.500)

Values from the calculation:
M_tot	0.0	μB/cell

Going by the energies, A is most stable and the next is 4.8 kJ/mol of atoms up.

## A
Pm2NdSe3: relaxed, PBE.

abc: 4.162 4.162 21.116
angles: 90.00 90.00 120.00
Atoms (fractional coordinates):
Pm (0.333, 0.667, 0.082)
Pm (0.333, 0.667, 0.418)
Pm (0.667, 0.333, 0.582)
Pm (0.667, 0.333, 0.918)
Nd (0.000, 0.000, 0.250)
Nd (0.000, 0.000, 0.750)
Se (0.000, 0.000, 0.000)
Se (0.000, 0.000, 0.500)
Se (0.333, 0.667, 0.664)
Se (0.333, 0.667, 0.836)
Se (0.667, 0.333, 0.164)
Se (0.667, 0.333, 0.336)

Values from the calculation:
M_tot	0.0	μB/cell

## B
Pm2NdSe3: relaxed, PBE.

abc: 7.279 7.279 7.279
angles: 146.28 131.84 60.08
Atoms (fractional coordinates):
Pm (0.166, 0.166, 0.000)
Pm (0.834, 0.834, 0.000)
Nd (0.500, 0.500, 0.000)
Se (0.000, 0.500, 0.500)
Se (0.332, 0.832, 0.500)
Se (0.668, 0.168, 0.500)

Values from the calculation:
M_tot	0.0	μB/cell

Going by the energies, B is most stable and the next is 0.5 kJ/mol of atoms up.

## A
Pm2NdSe4: relaxed, PBE.

abc: 7.238 7.238 14.114
angles: 90.00 90.00 147.18
Atoms (fractional coordinates):
Pm (0.130, 0.870, 0.570)
Pm (0.130, 0.870, 0.930)
Pm (0.870, 0.130, 0.070)
Pm (0.870, 0.130, 0.430)
Nd (0.374, 0.626, 0.750)
Nd (0.626, 0.374, 0.250)
Se (0.030, 0.970, 0.750)
Se (0.224, 0.776, 0.123)
Se (0.224, 0.776, 0.377)
Se (0.500, 0.500, 0.000)
Se (0.500, 0.500, 0.500)
Se (0.776, 0.224, 0.623)
Se (0.776, 0.224, 0.877)
Se (0.970, 0.030, 0.250)

Values from the calculation:
M_tot	0.0	μB/cell

## B
Pm2NdSe4: relaxed, PBE.

abc: 8.037 8.037 7.388
angles: 115.19 115.19 30.54
Atoms (fractional coordinates):
Pm (0.230, 0.230, 0.223)
Pm (0.770, 0.770, 0.777)
Nd (0.500, 0.500, 0.500)
Se (0.139, 0.139, 0.501)
Se (0.375, 0.375, 0.059)
Se (0.625, 0.625, 0.941)
Se (0.861, 0.861, 0.499)

Values from the calculation:
M_tot	0.0	μB/cell

Going by the energies, A is most stable and the next is 3.1 kJ/mol of atoms up.

## A
Pm2NdSi: relaxed, PBE.

abc: 4.768 4.768 4.744
angles: 90.00 90.00 90.00
Atoms (fractional coordinates):
Pm (0.000, 0.500, 0.000)
Pm (0.500, 0.000, 0.000)
Nd (0.000, 0.000, 0.500)
Si (0.500, 0.500, 0.500)

Values from the calculation:
M_tot	0.0	μB/cell

## B
Pm2NdSi: relaxed, PBE.

abc: 6.973 6.973 6.747
angles: 90.00 90.00 135.20
Atoms (fractional coordinates):
Pm (0.142, 0.858, 0.520)
Pm (0.142, 0.858, 0.980)
Pm (0.858, 0.142, 0.020)
Pm (0.858, 0.142, 0.480)
Nd (0.441, 0.559, 0.750)
Nd (0.559, 0.441, 0.250)
Si (0.330, 0.670, 0.250)
Si (0.670, 0.330, 0.750)

Values from the calculation:
M_tot	0.0	μB/cell

Going by the energies, B is most stable and the next is 1.4 kJ/mol of atoms up.

## A
Pm2NdSi: relaxed, PBE.

abc: 3.916 3.916 7.413
angles: 90.00 90.00 90.00
Atoms (fractional coordinates):
Pm (0.000, 0.000, 0.198)
Pm (0.000, 0.000, 0.802)
Nd (0.500, 0.500, 0.500)
Si (0.500, 0.500, 0.000)

Values from the calculation:
M_tot	0.0	μB/cell

## B
Pm2NdSi: relaxed, PBE.

abc: 9.989 9.989 9.989
angles: 22.60 22.60 22.60
Atoms (fractional coordinates):
Pm (0.000, 0.000, 0.000)
Pm (0.209, 0.209, 0.209)
Nd (0.770, 0.770, 0.770)
Si (0.605, 0.605, 0.605)

Values from the calculation:
M_tot	0.0	μB/cell

## C
Pm2NdSi: relaxed, PBE.

abc: 7.914 9.326 6.434
angles: 90.00 90.00 90.00
Atoms (fractional coordinates):
Pm (0.186, 0.054, 0.132)
Pm (0.186, 0.446, 0.132)
Pm (0.314, 0.554, 0.632)
Pm (0.314, 0.946, 0.632)
Pm (0.686, 0.054, 0.368)
Pm (0.686, 0.446, 0.368)
Pm (0.814, 0.554, 0.868)
Pm (0.814, 0.946, 0.868)
Nd (0.031, 0.250, 0.630)
Nd (0.469, 0.750, 0.130)
Nd (0.531, 0.250, 0.870)
Nd (0.969, 0.750, 0.370)
Si (0.119, 0.750, 0.928)
Si (0.381, 0.250, 0.428)
Si (0.619, 0.750, 0.572)
Si (0.881, 0.250, 0.072)

Values from the calculation:
M_tot	0.0	μB/cell

## D
Pm2NdSi: relaxed, PBE.

abc: 11.247 11.247 11.247
angles: 19.00 19.00 19.00
Atoms (fractional coordinates):
Pm (0.109, 0.109, 0.109)
Pm (0.891, 0.891, 0.891)
Nd (0.000, 0.000, 0.000)
Si (0.500, 0.500, 0.500)

Values from the calculation:
M_tot	0.0	μB/cell

Going by the energies, C is most stable and the next is 13.4 kJ/mol of atoms up.

## A
PmNd2Si: relaxed, PBE.

abc: 6.557 6.557 9.340
angles: 90.00 90.00 143.04
Atoms (fractional coordinates):
Pm (0.070, 0.930, 0.750)
Pm (0.930, 0.070, 0.250)
Nd (0.354, 0.646, 0.558)
Nd (0.354, 0.646, 0.942)
Nd (0.646, 0.354, 0.058)
Nd (0.646, 0.354, 0.442)
Si (0.257, 0.743, 0.250)
Si (0.743, 0.257, 0.750)

Values from the calculation:
M_tot	0.0	μB/cell

## B
PmNd2Si: relaxed, PBE.

abc: 4.766 4.766 4.786
angles: 90.00 90.00 90.00
Atoms (fractional coordinates):
Pm (0.000, 0.000, 0.000)
Nd (0.000, 0.500, 0.500)
Nd (0.500, 0.000, 0.500)
Si (0.500, 0.500, 0.000)

Values from the calculation:
M_tot	0.0	μB/cell

## C
PmNd2Si: relaxed, PBE.

abc: 3.966 3.966 7.290
angles: 90.00 90.00 90.00
Atoms (fractional coordinates):
Pm (0.000, 0.000, 0.000)
Nd (0.500, 0.500, 0.297)
Nd (0.500, 0.500, 0.703)
Si (0.000, 0.000, 0.500)

Values from the calculation:
M_tot	0.0	μB/cell

Going by the energies, A is most stable and the next is 10.1 kJ/mol of atoms up.